14
Lattice="-0.709 2.824 -5.951 2.803 -5.980 0.515 -7.776 -3.718 -0.838" Properties=species:S:1:pos:R:3 comment="PBE+U Cs3RbV2O8, optimized geometry" vol_a3_per_cell=329 total_energy_ev_per_atom=-5.86 magnetic_moment_mub_per_cell=2.02 pbc="T T T"
Cs -3.662 -5.576 -2.211
Cs -2.020 -1.297 -4.063
Cs 0.000 0.000 0.000
Rb -3.888 -1.859 -0.419
V -0.087 -3.867 -1.825
V -5.595 -3.006 -4.448
O 1.479 -3.119 -1.656
O -7.160 -3.754 -4.617
O -0.106 -5.377 -0.956
O -5.576 -1.496 -5.318
O -1.309 -2.809 -1.177
O -4.372 -4.064 -5.096
O -0.410 -4.164 -3.511
O -5.272 -2.709 -2.762